(1)
Here is an optimized crystal structure of Pa2MnCo from Alexandria via LeMat-Bulk. Energies are from PBE.

Values from the calculation:
DOS(E_F): 1.5592 states/eV per atom
ΔE to the lowest computed polymorph: 272.9 meV/atom
Energy: -35.22 eV per cell
Energy of formation: 1.0 kJ per mole of atoms

Cell lengths 3.267, 3.267, 6.794 Å; angles 90.00, 90.00, 90.00 degrees
Positions (direct):
1 Pa 0.000 0.000 0.752
2 Pa 0.000 0.000 0.248
3 Co 0.500 0.500 0.000
4 Mn 0.500 0.500 0.500

=====

(2)
Here is an optimized crystal structure of Pa2MnCo9 from Alexandria via LeMat-Bulk. Energies are from PBE.

Values from the calculation:
DOS(E_F): 1.1918 states/eV per atom
ΔE to the lowest computed polymorph: 0.0 meV/atom
Energy: -94.02 eV per cell
Energy of formation: -15.3 kJ per mole of atoms

Cell lengths 3.809, 3.809, 10.754 Å; angles 90.00, 90.00, 90.00 degrees
Positions (direct):
1 Pa 0.000 0.000 0.324
2 Pa 0.000 0.000 0.676
3 Mn 0.000 0.000 0.000
4 Co 0.500 0.500 0.000
5 Co 0.500 0.500 0.323
6 Co 0.500 0.500 0.677
7 Co 0.500 0.000 0.145
8 Co 0.500 0.000 0.500
9 Co 0.500 0.000 0.855
10 Co 0.000 0.500 0.145
11 Co 0.000 0.500 0.500
12 Co 0.000 0.500 0.855

=====

(3)
Here is an optimized crystal structure of PaMnCo from Alexandria via LeMat-Bulk. Energies are from PBE.

Values from the calculation:
DOS(E_F): 1.3162 states/eV per atom
ΔE to the lowest computed polymorph: 179.0 meV/atom
Energy: -51.89 eV per cell
Energy of formation: -5.5 kJ per mole of atoms

Cell lengths 3.975, 3.975, 7.385 Å; angles 74.39, 74.39, 60.00 degrees
Positions (direct):
1 Co 0.057 0.057 0.829
2 Co 0.943 0.943 0.171
3 Mn 0.661 0.661 0.018
4 Mn 0.339 0.339 0.982
5 Pa 0.216 0.216 0.351
6 Pa 0.784 0.784 0.649

=====

(4)
Here is an optimized crystal structure of PaMnCo from Alexandria via LeMat-Bulk. Energies are from PBE.

Values from the calculation:
DOS(E_F): 1.1414 states/eV per atom
ΔE to the lowest computed polymorph: 215.9 meV/atom
Energy: -25.83 eV per cell
Energy of formation: -2.0 kJ per mole of atoms

Cell lengths 3.712, 3.976, 3.976 Å; angles 120.00, 90.00, 90.00 degrees
Positions (direct):
1 Pa 0.667 0.333 0.667
2 Co 0.166 0.667 0.333
3 Mn 0.167 0.000 0.000

=====

(5)
Here is an optimized crystal structure of Pa2MnCo9 from Alexandria via LeMat-Bulk. Energies are from PBE.

Values from the calculation:
DOS(E_F): 1.0558 states/eV per atom
ΔE to the lowest computed polymorph: 71.7 meV/atom
Energy: -93.16 eV per cell
Energy of formation: -8.4 kJ per mole of atoms

Cell lengths 4.798, 4.798, 8.626 Å; angles 73.85, 73.85, 60.00 degrees
Positions (direct):
1 Pa 0.865 0.865 0.404
2 Pa 0.135 0.135 0.596
3 Mn 0.000 0.000 0.000
4 Co 0.667 0.667 0.999
5 Co 0.333 0.333 0.001
6 Co 0.500 0.500 0.500
7 Co 0.420 0.420 0.242
8 Co 0.919 0.420 0.242
9 Co 0.420 0.919 0.242
10 Co 0.580 0.580 0.758
11 Co 0.580 0.081 0.758
12 Co 0.081 0.580 0.758

=====

(6)
Here is an optimized crystal structure of Pa2MnCo from Alexandria via LeMat-Bulk. Energies are from PBE.

Values from the calculation:
DOS(E_F): 0.9063 states/eV per atom
ΔE to the lowest computed polymorph: 0.0 meV/atom
Energy: -72.63 eV per cell
Energy of formation: -25.3 kJ per mole of atoms

Cell lengths 3.652, 5.809, 7.246 Å; angles 107.53, 90.00, 90.00 degrees
Positions (direct):
1 Pa 0.750 0.231 0.438
2 Pa 0.250 0.769 0.562
3 Pa 0.250 0.771 0.076
4 Pa 0.750 0.229 0.924
5 Mn 0.750 0.696 0.296
6 Mn 0.250 0.304 0.704
7 Co 0.250 0.307 0.199
8 Co 0.750 0.693 0.801

=====

Question: ΔE to the lowest computed polymorph of number 6 (Pa2MnCo)?
Answer: 0.0 meV/atom